Record 1
Below is crystalline Be3B at its relaxed geometry, with properties calculated at the GGA-PBE level.

Summary:
ΔE_f: 290 meV per atom
magnetization: 0.00 μB/cell
energy relative to the lowest polymorph listed for this composition: 306 meV/atom
total energy: -4.174 eV/atom
mass density: 2.054 Mg/m³

Cell and atoms, written as CIF:
```
data_Be3B
_cell_length_a 2.135
_cell_length_b 6.706
_cell_length_c 4.275
_cell_angle_alpha 90.00
_cell_angle_beta 90.00
_cell_angle_gamma 90.00
_symmetry_space_group_name_H-M 'P 1'
_symmetry_Int_Tables_number 1
_symmetry_space_group_name_Hall 'P 1'
loop_
_atom_site_label
_atom_site_fract_x
_atom_site_fract_y
_atom_site_fract_z
Be1 0.000 0.000 0.000
Be2 0.000 0.218 0.415
Be3 0.000 0.782 0.415
Be4 0.500 0.282 0.915
Be5 0.500 0.500 0.500
Be6 0.500 0.718 0.915
B1 0.000 0.500 0.116
B2 0.500 0.000 0.616
```

=====

Record 2
Below is crystalline Be3BiB at its relaxed geometry, with properties calculated at the GGA-PBE level.

Summary:
ΔE_f: 2275 meV per atom
magnetization: 0.00 μB/cell
energy relative to the lowest polymorph listed for this composition: 1652 meV/atom
total energy: -2.072 eV/atom
mass density: 3.848 Mg/m³

Cell and atoms, written as CIF:
```
data_Be3BiB
_cell_length_a 4.740
_cell_length_b 4.740
_cell_length_c 4.740
_cell_angle_alpha 90.00
_cell_angle_beta 90.00
_cell_angle_gamma 90.00
_symmetry_space_group_name_H-M 'P 1'
_symmetry_Int_Tables_number 1
_symmetry_space_group_name_Hall 'P 1'
loop_
_atom_site_label
_atom_site_fract_x
_atom_site_fract_y
_atom_site_fract_z
Be1 0.000 0.000 0.500
Be2 0.000 0.500 0.000
Be3 0.500 0.000 0.000
Bi1 0.000 0.000 0.000
B1 0.500 0.500 0.500
```

=====

Record 3
Below is crystalline BeBiB2 at its relaxed geometry, with properties calculated at the GGA-PBE level.

Summary:
ΔE_f: 842 meV per atom
magnetization: 0.00 μB/cell
energy relative to the lowest polymorph listed for this composition: 0 meV/atom
total energy: -4.399 eV/atom
mass density: 7.434 Mg/m³

Cell and atoms, written as CIF:
```
data_BeBiB2
_cell_length_a 4.073
_cell_length_b 4.073
_cell_length_c 12.903
_cell_angle_alpha 90.00
_cell_angle_beta 90.00
_cell_angle_gamma 90.00
_symmetry_space_group_name_H-M 'P 1'
_symmetry_Int_Tables_number 1
_symmetry_space_group_name_Hall 'P 1'
loop_
_atom_site_label
_atom_site_fract_x
_atom_site_fract_y
_atom_site_fract_z
Be1 0.000 0.000 0.000
Be2 0.000 0.500 0.250
Be3 0.500 0.000 0.750
Be4 0.500 0.500 0.500
Bi1 0.000 0.000 0.500
Bi2 0.000 0.500 0.750
Bi3 0.500 0.000 0.250
Bi4 0.500 0.500 0.000
B1 0.062 0.250 0.125
B2 0.250 0.562 0.375
B3 0.250 0.938 0.875
B4 0.438 0.250 0.625
B5 0.562 0.750 0.625
B6 0.750 0.062 0.875
B7 0.750 0.438 0.375
B8 0.938 0.750 0.125
```

=====

Record 4
Below is crystalline BeBiB3 at its relaxed geometry, with properties calculated at the GGA-PBE level.

Summary:
ΔE_f: 2893 meV per atom
magnetization: 0.00 μB/cell
energy relative to the lowest polymorph listed for this composition: 1279 meV/atom
total energy: -2.635 eV/atom
mass density: 3.994 Mg/m³

Cell and atoms, written as CIF:
```
data_BeBiB3
_cell_length_a 4.704
_cell_length_b 4.704
_cell_length_c 4.704
_cell_angle_alpha 90.00
_cell_angle_beta 90.00
_cell_angle_gamma 90.00
_symmetry_space_group_name_H-M 'P 1'
_symmetry_Int_Tables_number 1
_symmetry_space_group_name_Hall 'P 1'
loop_
_atom_site_label
_atom_site_fract_x
_atom_site_fract_y
_atom_site_fract_z
Be1 0.000 0.000 0.000
Bi1 0.500 0.500 0.500
B1 0.000 0.500 0.500
B2 0.500 0.000 0.500
B3 0.500 0.500 0.000
```

=====

Record 5
Below is crystalline BeBi2B at its relaxed geometry, with properties calculated at the GGA-PBE level.

Summary:
ΔE_f: 657 meV per atom
magnetization: 0.00 μB/cell
energy relative to the lowest polymorph listed for this composition: 0 meV/atom
total energy: -3.884 eV/atom
mass density: 7.901 Mg/m³

Cell and atoms, written as CIF:
```
data_BeBi2B
_cell_length_a 5.757
_cell_length_b 5.757
_cell_length_c 11.103
_cell_angle_alpha 90.00
_cell_angle_beta 90.00
_cell_angle_gamma 90.00
_symmetry_space_group_name_H-M 'P 1'
_symmetry_Int_Tables_number 1
_symmetry_space_group_name_Hall 'P 1'
loop_
_atom_site_label
_atom_site_fract_x
_atom_site_fract_y
_atom_site_fract_z
Be1 0.000 0.000 0.000
Be2 0.000 0.500 0.250
Be3 0.500 0.000 0.750
Be4 0.500 0.500 0.500
Bi1 0.233 0.250 0.625
Bi2 0.250 0.733 0.875
Bi3 0.250 0.767 0.375
Bi4 0.267 0.250 0.125
Bi5 0.733 0.750 0.125
Bi6 0.750 0.233 0.375
Bi7 0.750 0.267 0.875
Bi8 0.767 0.750 0.625
B1 0.000 0.000 0.500
B2 0.000 0.500 0.750
B3 0.500 0.000 0.250
B4 0.500 0.500 0.000
```

=====

Record 6
Below is crystalline BeBiB3 at its relaxed geometry, with properties calculated at the GGA-PBE level.

Summary:
ΔE_f: 1614 meV per atom
magnetization: 0.00 μB/cell
energy relative to the lowest polymorph listed for this composition: 0 meV/atom
total energy: -3.913 eV/atom
mass density: 6.577 Mg/m³

Cell and atoms, written as CIF:
```
data_BeBiB3
_cell_length_a 3.984
_cell_length_b 3.984
_cell_length_c 3.984
_cell_angle_alpha 90.00
_cell_angle_beta 90.00
_cell_angle_gamma 90.00
_symmetry_space_group_name_H-M 'P 1'
_symmetry_Int_Tables_number 1
_symmetry_space_group_name_Hall 'P 1'
loop_
_atom_site_label
_atom_site_fract_x
_atom_site_fract_y
_atom_site_fract_z
Be1 0.000 0.000 0.000
Bi1 0.500 0.500 0.500
B1 0.000 0.000 0.500
B2 0.000 0.500 0.000
B3 0.500 0.000 0.000
```

=====

Copy entry 6 word for word.
Below is crystalline BeBiB3 at its relaxed geometry, with properties calculated at the GGA-PBE level.

Summary:
ΔE_f: 1614 meV per atom
magnetization: 0.00 μB/cell
energy relative to the lowest polymorph listed for this composition: 0 meV/atom
total energy: -3.913 eV/atom
mass density: 6.577 Mg/m³

Cell and atoms, written as CIF:
```
data_BeBiB3
_cell_length_a 3.984
_cell_length_b 3.984
_cell_length_c 3.984
_cell_angle_alpha 90.00
_cell_angle_beta 90.00
_cell_angle_gamma 90.00
_symmetry_space_group_name_H-M 'P 1'
_symmetry_Int_Tables_number 1
_symmetry_space_group_name_Hall 'P 1'
loop_
_atom_site_label
_atom_site_fract_x
_atom_site_fract_y
_atom_site_fract_z
Be1 0.000 0.000 0.000
Bi1 0.500 0.500 0.500
B1 0.000 0.000 0.500
B2 0.000 0.500 0.000
B3 0.500 0.000 0.000
```

=====

Copy entry 3 word for word.
Below is crystalline BeBiB2 at its relaxed geometry, with properties calculated at the GGA-PBE level.

Summary:
ΔE_f: 842 meV per atom
magnetization: 0.00 μB/cell
energy relative to the lowest polymorph listed for this composition: 0 meV/atom
total energy: -4.399 eV/atom
mass density: 7.434 Mg/m³

Cell and atoms, written as CIF:
```
data_BeBiB2
_cell_length_a 4.073
_cell_length_b 4.073
_cell_length_c 12.903
_cell_angle_alpha 90.00
_cell_angle_beta 90.00
_cell_angle_gamma 90.00
_symmetry_space_group_name_H-M 'P 1'
_symmetry_Int_Tables_number 1
_symmetry_space_group_name_Hall 'P 1'
loop_
_atom_site_label
_atom_site_fract_x
_atom_site_fract_y
_atom_site_fract_z
Be1 0.000 0.000 0.000
Be2 0.000 0.500 0.250
Be3 0.500 0.000 0.750
Be4 0.500 0.500 0.500
Bi1 0.000 0.000 0.500
Bi2 0.000 0.500 0.750
Bi3 0.500 0.000 0.250
Bi4 0.500 0.500 0.000
B1 0.062 0.250 0.125
B2 0.250 0.562 0.375
B3 0.250 0.938 0.875
B4 0.438 0.250 0.625
B5 0.562 0.750 0.625
B6 0.750 0.062 0.875
B7 0.750 0.438 0.375
B8 0.938 0.750 0.125
```